No. 1
VASP calculation (GGA-PBE) on a relaxed structure of AcYAlZn.

The structure in extended XYZ format:
```
4
Lattice="0.000 3.791 3.791 3.791 0.000 3.791 3.791 3.791 0.000" Properties=species:S:1:pos:R:3 pbc="T T T"
Ac 0.000 0.000 0.000
Y 3.791 3.791 3.791
Al 5.687 5.687 5.687
Zn 1.896 1.896 1.896
```

**Final energy**: -4.16 eV/atom
**Energy of formation**: -0.26 eV/atom
**Total moment**: 0.0 μB per cell

No. 2
VASP calculation (GGA-PBE) on a relaxed structure of Ac2AlZn9.

The structure in extended XYZ format:
```
12
Lattice="2.874 1.659 8.672 -2.874 1.659 8.672 0.000 -3.318 8.672" Properties=species:S:1:pos:R:3 pbc="T T T"
Ac 0.000 0.000 3.569
Ac 0.000 0.000 22.446
Al 0.000 0.000 0.000
Zn -1.446 -0.835 10.706
Zn 0.000 0.000 8.688
Zn 0.000 -1.669 15.309
Zn -1.446 0.835 15.309
Zn 0.000 0.000 13.008
Zn 1.446 -0.835 10.706
Zn 0.000 1.669 10.706
Zn 0.000 0.000 17.327
Zn 1.446 0.835 15.309
```

**Final energy**: -1.98 eV/atom
**Energy of formation**: -0.02 eV/atom
**Total moment**: 0.0 μB per cell

Repeat the first record exactly.
VASP calculation (GGA-PBE) on a relaxed structure of AcYAlZn.

The structure in extended XYZ format:
```
4
Lattice="0.000 3.791 3.791 3.791 0.000 3.791 3.791 3.791 0.000" Properties=species:S:1:pos:R:3 pbc="T T T"
Ac 0.000 0.000 0.000
Y 3.791 3.791 3.791
Al 5.687 5.687 5.687
Zn 1.896 1.896 1.896
```

**Final energy**: -4.16 eV/atom
**Energy of formation**: -0.26 eV/atom
**Total moment**: 0.0 μB per cell

Q: Number 2 is which compound?
A: Ac2AlZn9

Q: What is the final energy in the second record?
A: -1.98 eV/atom